A geometry-optimized PdIN2F structure. Source: Alexandria via LeMat-Bulk, functional PBE-GGA.

```
5
Lattice="-0.6840 2.6507 2.5876 -1.1777 -2.6504 2.4037 7.2521 -0.7691 2.7050" Properties=species:S:1:pos:R:3 pbc="T T T"
I 3.6260 -0.3846 1.3525
N -0.5888 -1.3252 1.2019
N -0.3420 1.3253 1.2938
Pd 0.0000 0.0000 0.0000
F 2.6952 -0.3844 3.8482
```

Offset from the most stable computed form (eV/f.u.): 0.62

***

A geometry-optimized Y2MnRe structure. Source: Alexandria via LeMat-Bulk, functional PBE-GGA.

```
4
Lattice="9.3664 -0.0056 -0.0033 8.7674 3.2957 -0.0033 8.7674 1.5907 2.8864" Properties=species:S:1:pos:R:3 pbc="T T T"
Mn 6.7253 1.2202 0.7199
Re 20.1758 3.6606 2.1598
Y 0.1686 0.0306 0.0180
Y 13.2820 2.4098 1.4218
```

Offset from the most stable computed form (eV/f.u.): 1.96

***

A geometry-optimized Pm4Te2Se3 structure. Source: Alexandria via LeMat-Bulk, functional PBE-GGA.

```
18
Lattice="-0.5517 -3.3610 -7.3559 -5.9081 -4.4627 2.4822 -4.9432 7.3633 1.4728" Properties=species:S:1:pos:R:3 pbc="T T T"
Pm -9.4892 1.1701 -2.0563
Pm -2.1896 -3.3111 -5.0226
Pm -1.9137 -1.6306 -1.3447
Pm -9.2134 2.8507 1.6217
Pm -7.7302 -2.0525 1.5175
Pm -3.6727 1.5920 -4.9185
Pm -5.8887 1.3903 -0.1936
Pm -5.5142 -1.8508 -3.2073
Te -4.5056 -1.3655 0.9618
Te -6.8973 0.9051 -4.3628
Te -4.5606 4.1423 -1.5507
Te -6.8423 -4.6027 -1.8503
Se 0.0000 0.0000 0.0000
Se -3.2299 -3.9119 -2.4369
Se -7.5831 -0.9053 -1.2509
Se -4.0956 -1.2357 -5.8280
Se -3.8198 0.4449 -2.1500
Se -7.3073 0.7752 2.4271
```

Raw total energy (eV/f.u.): -50.45

***

A geometry-optimized Sm5Tm12Sc structure. Source: Alexandria via LeMat-Bulk, functional PBE-GGA.

```
18
Lattice="10.5365 -0.0087 0.0216 5.2766 9.0453 -1.1276 -0.0140 -1.2719 5.9482" Properties=species:S:1:pos:R:3 pbc="T T T"
Sm 5.2613 -0.6403 2.9849
Sm 5.2661 5.4162 2.2535
Sm 10.5331 2.3485 2.5887
Sm 10.5265 4.7519 5.2041
Sm 5.2727 3.0128 -0.3619
Tm 8.7901 -0.6430 2.9911
Tm 1.7325 -0.6376 2.9787
Tm 12.3285 7.7675 4.8348
Tm 3.4707 -0.0028 0.0073
Tm 7.0214 6.0625 -0.7375
Tm 14.0615 6.0557 -0.7226
Tm 1.7377 1.7090 5.5647
Tm 8.7778 1.7022 5.5797
Tm 7.0356 2.3737 2.6188
Tm 12.3048 5.3871 2.2308
Tm 3.4944 2.3776 2.6113
Tm 8.7636 5.3910 2.2233
Sc 0.0000 0.0000 0.0000
```

Raw total energy (eV/f.u.): -83.06

***

A geometry-optimized Cd5Hg3Cl16 structure. Source: Alexandria via LeMat-Bulk, functional PBE-GGA.

```
24
Lattice="7.8677 0.0622 0.0444 3.8933 6.8371 0.0444 0.0021 0.0013 12.2430" Properties=species:S:1:pos:R:3 pbc="T T T"
Cd 5.8964 5.7042 9.6838
Cd 7.8262 4.5910 6.4129
Cd 7.8562 2.3634 9.6838
Cd 1.9910 1.1680 3.5259
Cd 3.8953 2.2851 0.2440
Hg 9.7835 5.7393 9.6906
Hg 3.9064 4.5437 3.5350
Hg 5.8722 1.1927 3.5350
Cl 5.8732 5.7487 5.0190
Cl 6.0327 3.5389 8.1088
Cl 7.8124 4.5830 11.1577
Cl 0.0410 0.0241 8.2602
Cl 0.0391 0.0230 2.1186
Cl 7.8837 2.3215 5.0190
Cl 7.8043 6.7018 8.0943
Cl 9.6579 3.5420 8.0943
Cl 1.9464 1.1418 11.0721
Cl 9.8214 5.7615 5.0708
Cl 2.0726 3.3111 1.9256
Cl 3.9015 0.1935 1.9256
Cl 3.8939 2.2843 5.0210
Cl 3.9305 4.5911 11.1314
Cl 5.7362 3.3650 1.9135
Cl 5.9253 1.1906 11.1314
```

Raw total energy (eV/f.u.): -56.02

***

A geometry-optimized Sm2Er8Tl structure. Source: Alexandria via LeMat-Bulk, functional PBE-GGA.

```
11
Lattice="5.5155 0.0000 0.0000 0.0000 6.2646 1.3446 -2.7577 -1.1499 9.5909" Properties=species:S:1:pos:R:3 pbc="T T T"
Sm 2.7577 1.4965 5.3570
Sm 0.0000 3.6183 5.5785
Er 0.0000 2.7811 8.8972
Er 2.7577 5.1199 4.2622
Er 2.7577 4.2591 7.7490
Er 2.7577 0.6487 9.1023
Er 0.0000 0.8556 3.1865
Er 0.0000 -0.0052 6.6733
Er 2.7577 2.3336 2.0383
Er 0.0000 4.4660 1.8331
Tl 2.7577 0.0000 0.0000
```

Raw total energy (eV/f.u.): -48.58

***

A geometry-optimized Tb3Nd12In structure. Source: Alexandria via LeMat-Bulk, functional PBE-GGA.

```
16
Lattice="-1.2539 4.7599 -1.3257 -4.9060 -1.0366 0.9184 2.3864 6.0952 19.6276" Properties=species:S:1:pos:R:3 pbc="T T T"
Tb 0.5919 1.5118 4.8682
Tb 1.1932 3.0476 9.8138
Tb 1.7945 4.5835 14.7595
Nd -3.0799 1.8617 -0.2037
Nd -2.4915 3.3645 4.6357
Nd -1.8867 4.9093 9.6101
Nd -1.2819 6.4541 14.5846
Nd -0.3392 3.1149 1.7039
Nd 0.2645 4.6569 6.6694
Nd 0.8680 6.1982 11.6325
Nd 1.4717 7.7402 16.5980
Nd -2.1652 0.2167 2.8259
Nd -1.5615 1.7587 7.7915
Nd -0.9581 3.3000 12.7545
Nd -0.3544 4.8420 17.7201
In 0.0000 0.0000 0.0000
```

Raw total energy (eV/f.u.): -74.63

***

A geometry-optimized PmAgGeAu structure. Source: Alexandria via LeMat-Bulk, functional PBE-GGA.

```
4
Lattice="-3.0459 2.5878 -2.8872 -3.6605 -2.2791 -2.3910 -4.6768 0.7312 1.3793" Properties=species:S:1:pos:R:3 pbc="T T T"
Ge -2.8458 0.2600 -0.9747
Au -8.5374 0.7799 -2.9241
Ag -5.6916 0.5200 -1.9494
Pm 0.0000 0.0000 0.0000
```

Raw total energy (eV/f.u.): -17.33

***

A geometry-optimized LiErSb2 structure. Source: Alexandria via LeMat-Bulk, functional PBE-GGA.

```
4
Lattice="-0.9377 2.8299 -2.8664 -4.5269 -1.7258 -0.2229 -1.3486 3.0870 3.4889" Properties=species:S:1:pos:R:3 pbc="T T T"
Sb -0.6743 1.5435 1.7445
Sb -2.2635 -0.8629 -0.1114
Li -0.4688 1.4150 -1.4332
Er -3.4066 2.0956 0.1998
```

Offset from the most stable computed form (eV/f.u.): 0.55

***

A geometry-optimized TlCCl2 structure. Source: Alexandria via LeMat-Bulk, functional PBE-GGA.

```
4
Lattice="2.4728 -3.3600 -2.8560 -0.6630 -4.9516 0.7764 -2.5204 -2.7755 -3.3920" Properties=species:S:1:pos:R:3 pbc="T T T"
Tl -0.3552 -5.5435 -2.7358
C 0.0000 0.0000 0.0000
Cl -0.1776 -2.7718 -1.3679
Cl -0.5329 -8.3153 -4.1037
```

Offset from the most stable computed form (eV/f.u.): 1.84

***

A geometry-optimized ScNi4Br structure. Source: Alexandria via LeMat-Bulk, functional PBE-GGA.

```
6
Lattice="-3.2719 0.6758 3.6279 -4.2984 -2.4171 -0.0740 -0.8566 -3.6078 3.2518" Properties=species:S:1:pos:R:3 pbc="T T T"
Sc -6.3202 -4.0118 5.1043
Ni -4.7915 -1.6759 4.3586
Ni -3.5933 -3.8009 4.1720
Ni -5.3007 -3.2102 2.5221
Ni -3.1684 -2.0112 2.5588
Br 0.0000 0.0000 0.0000
```

Raw total energy (eV/f.u.): -31.22

***

A geometry-optimized SrHfScPt2 structure. Source: Alexandria via LeMat-Bulk, functional PBE-GGA.

```
5
Lattice="4.5850 0.0000 0.0000 0.0000 4.5850 0.0000 -2.2925 -2.2925 5.6262" Properties=species:S:1:pos:R:3 pbc="T T T"
Sr 0.0000 0.0000 0.0000
Hf 2.2925 0.0000 2.8131
Sc 0.0000 2.2925 2.8131
Pt 2.2925 2.2925 1.3744
Pt 0.0000 0.0000 4.2518
```

Raw total energy (eV/f.u.): -34.69

***

Number 1: mass density 4.218 g/cm³, density of states at the Fermi level 5.8 states/eV per cell. Number 2: mass density 7.787 g/cm³, density of states at the Fermi level 3.2 states/eV per cell. Number 3: mass density 7.009 g/cm³, density of states at the Fermi level 6.2 states/eV per cell. Number 4: mass density 8.496 g/cm³, density of states at the Fermi level 23.7 states/eV per cell. Number 5: mass density 4.384 g/cm³, density of states at the Fermi level 0.0 states/eV per cell. Number 6: mass density 9.004 g/cm³, density of states at the Fermi level 14.9 states/eV per cell. Number 7: mass density 7.173 g/cm³, density of states at the Fermi level 22.5 states/eV per cell. Number 8: mass density 10.237 g/cm³, density of states at the Fermi level 1.4 states/eV per cell. Number 9: mass density 7.131 g/cm³, density of states at the Fermi level 2.0 states/eV per cell. Number 10: mass density 5.221 g/cm³, density of states at the Fermi level 4.3 states/eV per cell. Number 11: mass density 7.040 g/cm³, density of states at the Fermi level 9.0 states/eV per cell. Number 12: mass density 9.845 g/cm³, density of states at the Fermi level 4.9 states/eV per cell.